Entry from the Alexandria database: crystalline La2Ta2In at its relaxed geometry (GGA-PBEsol).

```
5
Lattice="-0.754 -1.560 3.768 -2.637 -2.737 -1.661 7.198 -2.622 -1.928" Properties=species:S:1:pos:R:3 pbc="T T T"
La 1.433 -3.754 -1.268
La 2.374 -3.166 1.447
In 0.000 0.000 0.000
Ta 4.633 -4.017 -0.736
Ta -0.826 -2.903 0.915
```

**Total energy**: -6.80 eV/atom
**E_form**: 0.95 eV per atom
**D(E_F)**: 4.6 states/eV/f.u.
**Symmetry**: No. 139

Entry from the Alexandria database: crystalline ReTePbN2 at its relaxed geometry (GGA-PBEsol).

```
5
Lattice="4.029 0.000 0.000 0.000 4.029 0.000 0.000 0.000 5.516" Properties=species:S:1:pos:R:3 pbc="T T T"
Te 0.000 0.000 2.758
Pb 2.014 2.014 2.758
Re 0.000 0.000 0.000
N 2.014 0.000 0.000
N 0.000 2.014 0.000
```

**Total energy**: -6.99 eV/atom
**E_form (uncorrected)**: 0.587 eV/atom
**D(E_F)**: 3.0 states/eV/f.u.
**Symmetry**: No. 123

Entry from the Alexandria database: crystalline Hg4P2O7 at its relaxed geometry (GGA-PBEsol).

```
26
Lattice="4.908 0.000 0.000 0.000 9.111 -0.051 0.000 -1.525 9.523" Properties=species:S:1:pos:R:3 pbc="T T T"
Hg 3.312 -0.783 5.704
Hg 3.312 3.051 8.555
Hg 2.170 6.086 8.323
Hg 2.170 5.293 5.884
Hg 2.738 1.500 1.148
Hg 1.596 4.535 0.917
Hg 1.596 8.369 3.768
Hg 2.738 2.293 3.588
P 4.429 7.532 1.323
P 0.479 2.214 6.111
P 4.429 5.372 3.361
P 0.479 0.054 8.148
O 1.154 1.134 7.130
O 0.236 8.602 2.162
O 3.754 6.452 2.342
O 4.522 1.427 5.140
O 4.522 0.842 9.119
O 3.207 8.211 0.687
O 3.207 4.693 3.997
O 1.701 2.893 5.475
O 0.236 4.302 2.522
O 4.672 -1.016 7.309
O 1.701 -0.625 8.785
O 4.672 3.284 6.950
O 0.387 6.160 4.332
O 0.387 6.745 0.353
```

**Total energy**: -5.24 eV/atom
**E_form (uncorrected)**: -1.349 eV/atom
**D(E_F)**: 0.0 states/eV/f.u.
**Symmetry**: No. 13

Entry from the Alexandria database: crystalline V3HW at its relaxed geometry (GGA-PBEsol).

```
5
Lattice="3.861 0.000 0.000 0.000 3.861 0.000 0.000 0.000 3.861" Properties=species:S:1:pos:R:3 pbc="T T T"
V 1.930 0.000 0.000
V 0.000 0.000 1.930
V 0.000 1.930 0.000
W 1.930 1.930 1.930
H 0.000 0.000 0.000
```

**Total energy**: -9.09 eV/atom
**D(E_F)**: 5.6 states/eV/f.u.
**Symmetry**: No. 221